1.
# Nd2Er2Mg3 (PBE-GGA, optimized geometry)
data_Nd2Er2Mg3
_chemical_formula_sum 'Nd4 Er4 Mg6'
_cell_length_a 13.642
_cell_length_b 3.549
_cell_length_c 9.440
_cell_angle_alpha 90.00
_cell_angle_beta 115.21
_cell_angle_gamma 90.00
_space_group_name_H-M_alt 'C 1 2/m 1'
_space_group_IT_number 12
_space_group_name_Hall '-C 2y'
loop_
_atom_site_label
_atom_site_fract_x
_atom_site_fract_y
_atom_site_fract_z
_atom_site_occupancy
Nd1 0.128 0.000 0.311 1
Er1 0.114 0.500 0.961 1
Mg1 0.000 0.500 0.500 1
Mg2 0.171 0.000 0.715 1
# VASP energy, eV/atom: -3.323
# Calculated density, Mg/m³: 5.6
# ΔE_f, eV/atom: 0.03
# Fermi-level density of states, states/eV/f.u.: 8.56
# Magnetization, μB/cell: 0.0

=====

2.
# NdEr2Mg (PBE-GGA, optimized geometry)
data_NdEr2Mg
_chemical_formula_sum 'Nd4 Er8 Mg4'
_cell_length_a 7.810
_cell_length_b 7.810
_cell_length_c 7.810
_cell_angle_alpha 90.00
_cell_angle_beta 90.00
_cell_angle_gamma 90.00
_space_group_name_H-M_alt 'F m -3 m'
_space_group_IT_number 225
_space_group_name_Hall '-F 4 2 3'
loop_
_atom_site_label
_atom_site_fract_x
_atom_site_fract_y
_atom_site_fract_z
_atom_site_occupancy
Nd1 0.000 0.000 0.000 1
Er1 0.250 0.250 0.250 1
Mg1 0.000 0.000 0.500 1
# ΔE to the lowest computed polymorph, meV per atom: 128
# VASP energy, eV/atom: -3.772
# Calculated density, Mg/m³: 7.0
# ΔE_f, eV/atom: 0.10
# Fermi-level density of states, states/eV/f.u.: 5.91
# Magnetization, μB/cell: 0.7

=====

3.
# NdEr7Mg2 (PBE-GGA, optimized geometry)
data_NdEr7Mg2
_chemical_formula_sum 'Nd2 Er14 Mg4'
_cell_length_a 8.734
_cell_length_b 16.090
_cell_length_c 5.309
_cell_angle_alpha 90.00
_cell_angle_beta 90.00
_cell_angle_gamma 90.00
_space_group_name_H-M_alt 'C m m m'
_space_group_IT_number 65
_space_group_name_Hall '-C 2 2'
loop_
_atom_site_label
_atom_site_fract_x
_atom_site_fract_y
_atom_site_fract_z
_atom_site_occupancy
Nd1 0.000 0.000 0.000 1
Er1 0.000 0.214 0.000 1
Er2 0.000 0.500 0.500 1
Er3 0.182 0.114 0.500 1
Mg1 0.000 0.298 0.500 1
# VASP energy, eV/atom: -3.392
# Calculated density, Mg/m³: 6.1
# ΔE_f, eV/atom: 0.60
# Fermi-level density of states, states/eV/f.u.: 20.69
# Magnetization, μB/cell: 0.4

=====

Repeat the third record exactly.
# NdEr7Mg2 (PBE-GGA, optimized geometry)
data_NdEr7Mg2
_chemical_formula_sum 'Nd2 Er14 Mg4'
_cell_length_a 8.734
_cell_length_b 16.090
_cell_length_c 5.309
_cell_angle_alpha 90.00
_cell_angle_beta 90.00
_cell_angle_gamma 90.00
_space_group_name_H-M_alt 'C m m m'
_space_group_IT_number 65
_space_group_name_Hall '-C 2 2'
loop_
_atom_site_label
_atom_site_fract_x
_atom_site_fract_y
_atom_site_fract_z
_atom_site_occupancy
Nd1 0.000 0.000 0.000 1
Er1 0.000 0.214 0.000 1
Er2 0.000 0.500 0.500 1
Er3 0.182 0.114 0.500 1
Mg1 0.000 0.298 0.500 1
# VASP energy, eV/atom: -3.392
# Calculated density, Mg/m³: 6.1
# ΔE_f, eV/atom: 0.60
# Fermi-level density of states, states/eV/f.u.: 20.69
# Magnetization, μB/cell: 0.4